No. 1
Here is BaZn2Cu after structural relaxation from the Open Quantum Materials Database. Energies are from PBE-GGA.

Lattice parameters (Å, degrees): 7.142 7.142 7.142 90.00 90.00 90.00
Space group F-43m (No. 216)
One atom of each set of equivalent atoms:
Ba1 0.000 0.000 0.000
Zn1 0.000 0.000 0.500
Zn2 0.250 0.250 0.750
Cu1 0.250 0.250 0.250

## Properties
final energy = -0.141 Ry/atom
crystal system = cubic


No. 2
Here is YTaAsO after structural relaxation from the Open Quantum Materials Database. Energies are from PBE-GGA.

Lattice parameters (Å, degrees): 4.140 4.990 6.670 90.00 90.00 90.00
Space group Pmc2_1 (No. 26)
One atom of each set of equivalent atoms:
Y1 0.000 0.186 0.000
Ta1 0.500 0.373 0.343
As1 0.500 0.135 0.694
O1 0.000 0.380 0.337

## Properties
final energy = -0.633 Ry/atom
crystal system = orthorhombic


No. 3
Here is Pu6As5Se after structural relaxation from the Open Quantum Materials Database. Energies are from PBE-GGA.

Lattice parameters (Å, degrees): 7.174 12.427 7.172 90.00 109.45 90.00
Space group C2/m (No. 12)
One atom of each set of equivalent atoms:
Pu1 0.248 0.000 0.251
Pu2 0.248 0.168 0.748
As1 0.000 0.000 0.500
As2 0.000 0.167 0.000
As3 0.000 0.335 0.500
Se1 0.000 0.500 0.000

## Properties
final energy = -0.773 Ry/atom
crystal system = monoclinic


No. 4
Here is TbCd6O8 after structural relaxation from the Open Quantum Materials Database. Energies are from PBE-GGA.

Lattice parameters (Å, degrees): 9.405 9.405 9.405 90.00 90.00 90.00
Space group Fm-3m (No. 225)
One atom of each set of equivalent atoms:
Tb1 0.000 0.000 0.000
Cd1 0.000 0.250 0.250
O1 0.000 0.000 0.241
O2 0.250 0.250 0.250

## Properties
final energy = -0.336 Ry/atom
crystal system = cubic


> Which formula does entry 2 have?

YTaAsO


> Among the records above, which one has the highest final energy?

BaZn2Cu